[1]
HfGaTe3: PBEsol geometry, SCAN.

For the formation energy (no corrections), the calculation gives 570 meV per atom. The energy above the most stable polymorph in this dataset is 729 meV/atom. The magnetization is 0.00 μB/atom. The calculated total energy comes out at -187.923 eV/cell.

It has space group Pm-3m (No. 221), with a = 5.1702 Å, b = 5.1702 Å, c = 5.1702 Å, α = 90.00°, β = 90.00° and γ = 90.00°. Symmetry generates all atoms from Hf at (0.0000, 0.0000, 0.0000), Ga at (0.5000, 0.5000, 0.5000) and Te at (0.0000, 0.5000, 0.5000).

[2]
HfGaTe3: PBEsol geometry, SCAN.

For the formation energy (no corrections), the calculation gives -159 meV per atom. The energy above the most stable polymorph in this dataset is 0 meV/atom. The magnetization is 0.00 μB/atom. The calculated total energy comes out at -191.570 eV/cell.

It has space group Pm-3m (No. 221), with a = 5.5099 Å, b = 5.5099 Å, c = 5.5099 Å, α = 90.00°, β = 90.00° and γ = 90.00°. Symmetry generates all atoms from Hf at (0.0000, 0.0000, 0.0000), Ga at (0.5000, 0.5000, 0.5000) and Te at (0.0000, 0.0000, 0.5000).

[3]
Hf3Ti2Ga3: PBEsol geometry, SCAN.

The magnetization is 0.19 μB/atom. The calculated total energy comes out at -547.359 eV/cell. Its formation energy is -0.570 eV per atom.

It has space group P6_3/mcm (No. 193), with a = 7.7736 Å, b = 7.7736 Å, c = 5.3826 Å, α = 90.00°, β = 90.00° and γ = 120.00°. Symmetry generates all atoms from Hf at (0.0000, 0.2411, 0.2500), Ti at (0.3333, 0.6667, 0.0000) and Ga at (0.0000, 0.4006, 0.7500).